1.
Entry from the Alexandria database: a relaxed structure of PuThMgZn (PBE).

Geometry as POSCAR:
```
PuThMgZn
1.0
0.0000 3.7084 3.7084
3.7084 0.0000 3.7084
3.7084 3.7084 0.0000
Pu Th Mg Zn
1 1 1 1
Cartesian
0.0000 0.0000 0.0000 Pu
3.7084 3.7084 3.7084 Th
5.5627 5.5627 5.5627 Mg
1.8542 1.8542 1.8542 Zn
```

**Calculated formation energy**: 0.4 eV/f.u.
**Space group**: F-43m

=====

2.
Entry from the Alexandria database: a relaxed structure of TbHf2Os (PBE).

Geometry as POSCAR:
```
TbHf2Os
1.0
3.2726 0.0000 0.0000
0.0000 3.2726 0.0000
0.0000 0.0000 8.1249
Tb Hf Os
1 2 1
Cartesian
0.0000 0.0000 0.0000 Tb
1.6363 1.6363 2.4792 Hf
1.6363 1.6363 5.6457 Hf
0.0000 0.0000 4.0624 Os
```

**Calculated formation energy**: -0.7 eV/f.u.
**Space group**: P4/mmm

=====

3.
Entry from the Alexandria database: a relaxed structure of LaSm6Dy (PBE).

Geometry as POSCAR:
```
LaSm6Dy
1.0
5.1359 0.0000 0.0000
0.0000 5.1359 0.0000
0.0000 0.0000 10.2837
La Sm Dy
1 6 1
Cartesian
0.0000 0.0000 0.0000 La
0.0000 2.5679 2.6118 Sm
0.0000 2.5679 7.6719 Sm
2.5679 0.0000 2.6118 Sm
2.5679 0.0000 7.6719 Sm
2.5679 2.5679 0.0000 Sm
2.5679 2.5679 5.1418 Sm
0.0000 0.0000 5.1418 Dy
```

**Calculated formation energy**: 0.2 eV/f.u.
**Space group**: P4/mmm
**Energy above the most stable polymorph in this dataset**: 0.00 kJ/mol of atoms

=====

4.
Entry from the Alexandria database: a relaxed structure of TlGaS (PBE).

Geometry as POSCAR:
```
TlGaS
1.0
-2.3991 2.6310 7.5213
2.3991 -2.6310 7.5213
2.3991 2.6310 -7.5213
Tl Ga S
2 2 2
Cartesian
0.0000 0.0000 2.0341 Tl
0.0000 0.0000 13.0086 Tl
2.3991 1.1730 0.0000 Ga
0.0000 1.4580 7.5213 Ga
0.0000 0.0000 5.7457 S
0.0000 0.0000 9.2970 S
```

**Uncorrected formation energy**: -191 meV/atom
**Space group**: Immm
**Energy above the most stable polymorph in this dataset**: 9.35 kJ/mol of atoms

=====

5.
Entry from the Alexandria database: a relaxed structure of Ba4LiPt (PBE).

Geometry as POSCAR:
```
Ba4LiPt
1.0
0.0000 5.0279 5.0279
5.0279 0.0000 5.0279
5.0279 5.0279 0.0000
Ba Li Pt
4 1 1
Cartesian
3.7887 3.7887 3.7887 Ba
6.2670 6.2670 3.7887 Ba
6.2670 3.7887 6.2670 Ba
3.7887 6.2670 6.2670 Ba
0.0000 0.0000 0.0000 Li
7.5418 7.5418 7.5418 Pt
```

**Calculated formation energy**: 3.4 eV/f.u.
**Space group**: F-43m
**Energy above the most stable polymorph in this dataset**: 82.82 kJ/mol of atoms

=====

6.
Entry from the Alexandria database: a relaxed structure of Sm2ThSi (PBE).

Geometry as POSCAR:
```
Sm2ThSi
1.0
4.7349 0.0000 0.0000
0.0000 4.7349 0.0000
0.0000 0.0000 4.7582
Sm Th Si
2 1 1
Cartesian
0.0000 2.3674 0.0000 Sm
2.3674 0.0000 0.0000 Sm
0.0000 0.0000 2.3791 Th
2.3674 2.3674 2.3791 Si
```

**Uncorrected formation energy**: -217 meV/atom
**Space group**: P4/mmm
**Energy above the most stable polymorph in this dataset**: 0.00 kJ/mol of atoms

=====

7.
Entry from the Alexandria database: a relaxed structure of BaBe3I (PBE).

Geometry as POSCAR:
```
BaBe3I
1.0
5.0947 0.0000 0.0000
0.0000 5.0947 0.0000
0.0000 0.0000 5.0947
Ba Be I
1 3 1
Cartesian
0.0000 0.0000 0.0000 Ba
0.0000 2.5474 2.5474 Be
2.5474 0.0000 2.5474 Be
2.5474 2.5474 0.0000 Be
2.5474 2.5474 2.5474 I
```

**Uncorrected formation energy**: 1254 meV/atom
**Space group**: Pm-3m
**Energy above the most stable polymorph in this dataset**: 0.00 kJ/mol of atoms

=====

8.
Entry from the Alexandria database: a relaxed structure of Zn2InCu2 (PBE).

Geometry as POSCAR:
```
Zn2InCu2
1.0
-1.8843 1.8843 5.9288
1.8843 -1.8843 5.9288
1.8843 1.8843 -5.9288
Zn In Cu
2 1 2
Cartesian
0.0000 0.0000 1.2768 Zn
0.0000 0.0000 10.5808 Zn
0.0000 0.0000 5.9288 In
1.8843 0.0000 2.9644 Cu
0.0000 1.8843 2.9644 Cu
```

**Calculated formation energy**: 0.7 eV/f.u.
**Space group**: I4/mmm
**Energy above the most stable polymorph in this dataset**: 9.68 kJ/mol of atoms

=====

9.
Entry from the Alexandria database: a relaxed structure of LuPF (PBE).

Geometry as POSCAR:
```
LuPF
1.0
-1.5813 1.5813 4.8593
1.5813 -1.5813 4.8593
1.5813 1.5813 -4.8593
Lu P F
1 1 1
Cartesian
0.0000 0.0000 0.0000 Lu
0.0000 0.0000 2.9790 P
0.0000 0.0000 5.7027 F
```

**Uncorrected formation energy**: -1745 meV/atom
**Space group**: I4mm

=====

10.
Entry from the Alexandria database: a relaxed structure of CePr2In2Hg2 (PBE).

Geometry as POSCAR:
```
CePr2In2Hg2
1.0
2.4963 1.4412 9.4411
-2.4963 1.4412 9.4411
0.0000 -2.8824 9.4411
Ce Pr In Hg
1 2 2 2
Cartesian
0.0000 0.0000 0.0000 Ce
0.0000 0.0000 3.6071 Pr
0.0000 0.0000 24.7164 Pr
0.0000 0.0000 7.3564 In
0.0000 0.0000 20.9670 In
0.0000 0.0000 11.0346 Hg
0.0000 0.0000 17.2888 Hg
```

**Calculated formation energy**: -2.0 eV/f.u.
**Space group**: R-3m

=====

11.
Entry from the Alexandria database: a relaxed structure of Zr2TeW (PBE).

Geometry as POSCAR:
```
Zr2TeW
1.0
3.0200 -3.9076 0.0000
3.0200 3.9076 0.0000
0.0000 0.0000 3.4717
Zr Te W
2 1 1
Cartesian
1.5100 1.9538 0.0000 Zr
1.5100 -1.9538 0.0000 Zr
0.0000 0.0000 1.7359 Te
3.0200 0.0000 1.7359 W
```

**Uncorrected formation energy**: -98 meV/atom
**Space group**: Cmmm
**Energy above the most stable polymorph in this dataset**: 9.26 kJ/mol of atoms

=====

12.
Entry from the Alexandria database: a relaxed structure of ZnSi2Br (PBE).

Geometry as POSCAR:
```
ZnSi2Br
1.0
1.7807 -2.6939 0.0000
1.7807 2.6939 0.0000
0.0000 0.0000 8.0769
Zn Si Br
1 2 1
Cartesian
0.0000 0.0000 0.0000 Zn
1.7807 0.0000 1.8177 Si
1.7807 0.0000 6.2592 Si
0.0000 0.0000 4.0385 Br
```

**Uncorrected formation energy**: 546 meV/atom
**Space group**: Cmmm
**Energy above the most stable polymorph in this dataset**: 46.43 kJ/mol of atoms

=====

no.,electronic total energy (eV/atom)
1,-6.06
2,-9.12
3,-4.71
4,-3.36
5,-2.03
6,-5.79
7,-1.68
8,-2.56
9,-5.68
10,-3.37
11,-8.40
12,-2.90